Record 1
This record from the Alexandria database describes NaAg3Ir after structural relaxation. The functional is GGA-PBE.

## Properties
Fermi-level density of states = 1.0712 states/eV/atom
offset from the most stable computed form = 0.0000 eV per atom

Cell and atoms, written as CIF:
```
data_NaAg3Ir
_space_group_name_H-M_alt 'P 1'
_space_group_IT_number 1
_cell_length_a 5.130
_cell_length_b 5.130
_cell_length_c 5.130
_cell_angle_alpha 90.00
_cell_angle_beta 90.00
_cell_angle_gamma 90.00
loop_
_space_group_symop_operation_xyz
'x,y,z'
loop_
_atom_site_label
_atom_site_type_symbol
_atom_site_fract_x
_atom_site_fract_y
_atom_site_fract_z
_atom_site_occupancy
Na1 Na 0.500 0.500 0.500 1
Ir1 Ir 0.000 0.000 0.000 1
Ag1 Ag 0.000 0.000 0.500 1
Ag2 Ag 0.500 0.000 0.000 1
Ag3 Ag 0.000 0.500 0.000 1
```

=====

Record 2
This record from the Alexandria database describes Tl6Pb after structural relaxation. The functional is GGA-PBE.

## Properties
Fermi-level density of states = 0.4615 states/eV/atom
offset from the most stable computed form = 0.0000 eV per atom

Cell and atoms, written as CIF:
```
data_Tl6Pb
_space_group_name_H-M_alt 'P 1'
_space_group_IT_number 1
_cell_length_a 5.546
_cell_length_b 5.546
_cell_length_c 8.726
_cell_angle_alpha 71.47
_cell_angle_beta 71.47
_cell_angle_gamma 60.00
loop_
_space_group_symop_operation_xyz
'x,y,z'
loop_
_atom_site_label
_atom_site_type_symbol
_atom_site_fract_x
_atom_site_fract_y
_atom_site_fract_z
_atom_site_occupancy
Tl1 Tl 0.142 0.142 0.575 1
Tl2 Tl 0.428 0.428 0.716 1
Tl3 Tl 0.716 0.716 0.853 1
Tl4 Tl 0.284 0.284 0.147 1
Tl5 Tl 0.572 0.572 0.284 1
Tl6 Tl 0.858 0.858 0.425 1
Pb1 Pb 0.000 0.000 0.000 1
```

=====

Record 3
This record from the Alexandria database describes Na2HPt after structural relaxation. The functional is GGA-PBE.

## Properties
Fermi-level density of states = 0.1020 states/eV/atom
offset from the most stable computed form = 0.2785 eV per atom

Cell and atoms, written as CIF:
```
data_Na2HPt
_space_group_name_H-M_alt 'P 1'
_space_group_IT_number 1
_cell_length_a 2.898
_cell_length_b 2.898
_cell_length_c 8.524
_cell_angle_alpha 80.21
_cell_angle_beta 80.21
_cell_angle_gamma 60.00
loop_
_space_group_symop_operation_xyz
'x,y,z'
loop_
_atom_site_label
_atom_site_type_symbol
_atom_site_fract_x
_atom_site_fract_y
_atom_site_fract_z
_atom_site_occupancy
H1 H 0.500 0.500 0.500 1
Pt1 Pt 0.000 0.000 0.000 1
Na1 Na 0.892 0.892 0.324 1
Na2 Na 0.108 0.108 0.676 1
```

=====

Record 4
This record from the Alexandria database describes Nb2SbPd2 after structural relaxation. The functional is GGA-PBE.

## Properties
Fermi-level density of states = 1.0655 states/eV/atom
ΔE_f (raw) = -0.018 eV per atom

Cell and atoms, written as CIF:
```
data_Nb2SbPd2
_space_group_name_H-M_alt 'P 1'
_space_group_IT_number 1
_cell_length_a 7.928
_cell_length_b 7.928
_cell_length_c 2.952
_cell_angle_alpha 90.00
_cell_angle_beta 90.00
_cell_angle_gamma 90.00
loop_
_space_group_symop_operation_xyz
'x,y,z'
loop_
_atom_site_label
_atom_site_type_symbol
_atom_site_fract_x
_atom_site_fract_y
_atom_site_fract_z
_atom_site_occupancy
Sb1 Sb 0.500 0.500 0.000 1
Pd1 Pd 0.377 0.877 0.000 1
Pd2 Pd 0.877 0.623 0.000 1
Sb2 Sb 0.000 0.000 0.000 1
Pd3 Pd 0.123 0.377 0.000 1
Nb1 Nb 0.669 0.831 0.500 1
Nb2 Nb 0.331 0.169 0.500 1
Nb3 Nb 0.169 0.669 0.500 1
Nb4 Nb 0.831 0.331 0.500 1
Pd4 Pd 0.623 0.123 0.000 1
```

=====

Record 5
This record from the Alexandria database describes Mn3CoN4 after structural relaxation. The functional is GGA-PBE.

## Properties
Fermi-level density of states = 0.7818 states/eV/atom
ΔE_f (raw) = -0.227 eV per atom

Cell and atoms, written as CIF:
```
data_Mn3CoN4
_space_group_name_H-M_alt 'P 1'
_space_group_IT_number 1
_cell_length_a 4.279
_cell_length_b 4.279
_cell_length_c 5.232
_cell_angle_alpha 114.14
_cell_angle_beta 114.14
_cell_angle_gamma 90.00
loop_
_space_group_symop_operation_xyz
'x,y,z'
loop_
_atom_site_label
_atom_site_type_symbol
_atom_site_fract_x
_atom_site_fract_y
_atom_site_fract_z
_atom_site_occupancy
Mn1 Mn 0.750 0.250 0.500 1
N1 N 0.382 0.382 0.254 1
Mn2 Mn 0.250 0.750 0.500 1
Mn3 Mn 0.500 0.500 0.000 1
N2 N 0.128 0.618 0.746 1
N3 N 0.618 0.128 0.746 1
N4 N 0.872 0.872 0.254 1
Co1 Co 0.000 0.000 0.000 1
```

=====

Record 6
This record from the Alexandria database describes Ca6PdAu2 after structural relaxation. The functional is GGA-PBE.

## Properties
Fermi-level density of states = 0.6502 states/eV/atom
raw total energy = -3.1690 eV/atom

Cell and atoms, written as CIF:
```
data_Ca6PdAu2
_space_group_name_H-M_alt 'P 1'
_space_group_IT_number 1
_cell_length_a 8.846
_cell_length_b 8.846
_cell_length_c 8.846
_cell_angle_alpha 104.18
_cell_angle_beta 110.63
_cell_angle_gamma 113.75
loop_
_space_group_symop_operation_xyz
'x,y,z'
loop_
_atom_site_label
_atom_site_type_symbol
_atom_site_fract_x
_atom_site_fract_y
_atom_site_fract_z
_atom_site_occupancy
Pd1 Pd 0.000 0.000 0.000 1
Ca1 Ca 0.692 0.035 0.343 1
Ca2 Ca 0.692 0.349 0.657 1
Au1 Au 0.500 0.366 0.866 1
Ca3 Ca 0.186 0.250 0.436 1
Ca4 Ca 0.186 0.750 0.935 1
Ca5 Ca 0.105 0.277 0.828 1
Au2 Au 0.314 0.000 0.314 1
Ca6 Ca 0.308 0.965 0.657 1
Ca7 Ca 0.449 0.277 0.172 1
Ca8 Ca 0.814 0.250 0.065 1
Au3 Au 0.500 0.634 0.134 1
Ca9 Ca 0.895 0.723 0.172 1
Au4 Au 0.686 0.000 0.686 1
Ca10 Ca 0.308 0.651 0.343 1
Ca11 Ca 0.814 0.750 0.564 1
Pd2 Pd 0.000 0.500 0.500 1
Ca12 Ca 0.551 0.723 0.828 1
```

=====

no.,total magnetic moment (μB/cell)
1,0.59
2,0.00
3,0.00
4,0.00
5,2.32
6,0.00